(1)
Below is an optimized crystal structure of YbGaO3, with properties calculated at the PBE-GGA level.

Unit cell a=5.347 b=5.608 c=7.575 alpha=90.00 beta=90.00 gamma=90.00
Positions (direct):
1 Yb 0.016 0.434 0.250
2 Yb 0.984 0.566 0.750
3 Yb 0.516 0.066 0.750
4 Yb 0.484 0.934 0.250
5 Ga 0.000 0.000 0.000
6 Ga 0.500 0.500 0.000
7 Ga 0.000 0.000 0.500
8 Ga 0.500 0.500 0.500
9 O 0.306 0.196 0.054
10 O 0.694 0.804 0.946
11 O 0.806 0.304 0.946
12 O 0.694 0.804 0.554
13 O 0.194 0.696 0.054
14 O 0.306 0.196 0.446
15 O 0.194 0.696 0.446
16 O 0.806 0.304 0.554
17 O 0.607 0.538 0.250
18 O 0.393 0.462 0.750
19 O 0.107 0.962 0.750
20 O 0.893 0.038 0.250

The value obtained for the raw formation energy is -52.4 kcal/mol of atoms. As for the space group: Pnma, No. 62. As for the calculated volume: 11.4 Å³ per atom.


(2)
Below is an optimized crystal structure of CsK8Cd2, with properties calculated at the PBE-GGA level.

Unit cell a=7.337 b=10.468 c=10.468 alpha=79.51 beta=110.34 gamma=110.34
Positions (direct):
1 Cs 0.500 0.500 0.500
2 K 0.170 0.997 0.345
3 K 0.170 0.345 0.997
4 K 0.230 0.729 0.729
5 K 0.500 0.178 0.822
6 K 0.500 0.822 0.178
7 K 0.770 0.271 0.271
8 K 0.830 0.655 0.003
9 K 0.830 0.003 0.655
10 Cd 0.000 0.383 0.617
11 Cd 0.000 0.617 0.383

The electronic total energy is -1.034 eV per atom. As for the space group: C2/m, No. 12. As for the calculated volume: 64.1 Å³ per atom.